Material: Na3Mn2IrO6
Method: DFT, PBE with a Hubbard U
State: relaxed

a b c (Å): 5.2906 5.2906 5.5736
angles (deg): 99.32 99.32 119.14
Last column: nearest neighbours and their distance in Å.
Element x y z (fractional)
Na 0.1644 0.8356 0.5000  6 O 2.35-2.40
Na 0.8356 0.1644 0.5000  6 O 2.35-2.40
Na 0.5000 0.5000 0.5000  6 O 2.37-2.41
Mn 0.3323 0.6677 0.0000  6 O 2.01-2.06
Mn 0.6677 0.3323 0.0000  6 O 2.01-2.06
Ir 0.0000 0.0000 0.0000  6 O 2.10
O 0.9378 0.5917 0.8007  2 Mn 2.01-2.06, 1 Ir 2.10
O 0.7214 0.7214 0.1930  2 Mn 2.02, 1 Ir 2.10
O 0.0622 0.4083 0.1993  2 Mn 2.01-2.06, 1 Ir 2.10
O 0.5917 0.9378 0.8007  2 Mn 2.01-2.06, 1 Ir 2.10
O 0.2786 0.2786 0.8070  2 Mn 2.02, 1 Ir 2.10
O 0.4083 0.0622 0.1993  2 Mn 2.01-2.06, 1 Ir 2.10

## Properties
V = 10.760 Å³/atom
space-group type = C2/m
E = -72.29 eV per cell